Density functional theory data (PBE-GGA) for a relaxed structure of LiBiSO.

Total moment ... 0.00 μB/f.u.
ΔE_f (raw) ... -1.1123 eV/atom
SG ... P4/nmm, No. 129

Unit cell a=3.926 b=3.926 c=8.683 alpha=90.00 beta=90.00 gamma=90.00
Element x y z (fractional)
Li (0.250, 0.750, 0.000)
Li (0.750, 0.250, 0.000)
Bi (0.250, 0.250, 0.354)
Bi (0.750, 0.750, 0.646)
S (0.250, 0.250, 0.833)
S (0.750, 0.750, 0.167)
O (0.250, 0.750, 0.500)
O (0.750, 0.250, 0.500)

***

Density functional theory data (PBE-GGA) for a relaxed structure of LiBiS2O8.

Total moment ... 0.00 μB/f.u.
ΔE_f (raw) ... -1.4891 eV/atom
SG ... P-3m1, No. 164

Unit cell a=5.182 b=5.182 c=6.709 alpha=90.00 beta=90.00 gamma=120.00
Element x y z (fractional)
Li (0.000, 0.000, 0.000)
Bi (0.000, 0.000, 0.500)
S (0.333, 0.667, 0.713)
S (0.667, 0.333, 0.287)
O (0.176, 0.352, 0.784)
O (0.176, 0.824, 0.784)
O (0.333, 0.667, 0.490)
O (0.352, 0.176, 0.216)
O (0.648, 0.824, 0.784)
O (0.667, 0.333, 0.510)
O (0.824, 0.176, 0.216)
O (0.824, 0.648, 0.216)